{"formula": "Sm3ZnSb2", "functional": "GGA-PBE", "state": "relaxed", "total_magnetization_mub_per_atom": 0.000, "dos_ef_per_ev_cell": 12.786, "e_form_raw_ev_per_atom": -0.7512, "density_g_cm3": 6.91, "lattice_angstrom": [[6.9679, -3.1149, 0.0000], [6.9679, 3.1149, 0.0000], [-2.8291, 0.0000, 8.4197]], "species": ["Sm", "Sm", "Sm", "Sm", "Sm", "Sm", "Zn", "Zn", "Sb", "Sb", "Sb", "Sb"], "frac_coords": [[0.0005, 0.9995, 0.7500], [0.3285, 0.3287, 0.4143], [0.3287, 0.3285, 0.9143], [0.6713, 0.6715, 0.0857], [0.6715, 0.6713, 0.5857], [0.9995, 0.0005, 0.2500], [0.4995, 0.5005, 0.2500], [0.5005, 0.4995, 0.7500], [0.1663, 0.1666, 0.0834], [0.1666, 0.1663, 0.5834], [0.8334, 0.8337, 0.4166], [0.8337, 0.8334, 0.9166]]}

{"formula": "Sm8Zn2Sb", "functional": "GGA-PBE", "state": "relaxed", "total_magnetization_mub_per_atom": 0.000, "dos_ef_per_ev_cell": 10.616, "e_form_raw_ev_per_atom": -0.2478, "density_g_cm3": 7.32, "lattice_angstrom": [[9.3314, -2.5570, 0.0000], [9.3314, 2.5570, 0.0000], [-1.4730, 0.0000, 6.9227]], "species": ["Sm", "Sm", "Sm", "Sm", "Sm", "Sm", "Sm", "Sm", "Zn", "Zn", "Sb"], "frac_coords": [[0.0322, 0.0322, 0.2565], [0.2036, 0.2036, 0.8244], [0.3324, 0.3324, 0.5356], [0.4076, 0.4076, 0.0476], [0.5924, 0.5924, 0.9524], [0.6676, 0.6676, 0.4644], [0.7964, 0.7964, 0.1756], [0.9678, 0.9678, 0.7435], [0.1921, 0.1921, 0.2338], [0.8079, 0.8079, 0.7662], [0.5000, 0.5000, 0.5000]]}

{"formula": "Sm4ZnSb", "functional": "GGA-PBE", "state": "relaxed", "total_magnetization_mub_per_atom": 0.000, "dos_ef_per_ev_cell": 15.072, "e_form_raw_ev_per_atom": -0.3061, "density_g_cm3": 7.07, "lattice_angstrom": [[2.8074, -10.3236, 0.0000], [2.8074, 10.3236, 0.0000], [0.0000, 0.0000, 6.3888]], "species": ["Sm", "Sm", "Sm", "Sm", "Sm", "Sm", "Sm", "Sm", "Zn", "Zn", "Sb", "Sb"], "frac_coords": [[0.0577, 0.9423, 0.7500], [0.2059, 0.7941, 0.5009], [0.2059, 0.7941, 0.9991], [0.3886, 0.6114, 0.7500], [0.6114, 0.3886, 0.2500], [0.7941, 0.2059, 0.0009], [0.7941, 0.2059, 0.4991], [0.9423, 0.0577, 0.2500], [0.0806, 0.9194, 0.2500], [0.9194, 0.0806, 0.7500], [0.3495, 0.6505, 0.2500], [0.6505, 0.3495, 0.7500]]}